Here is a relaxed Sr2VInO6 crystal from Alexandria via LeMat-Bulk. Energies are from GGA+U.

Geometry as extended XYZ:
```
10
Lattice="0.000 4.034 4.034 4.034 0.000 4.034 4.034 4.034 0.000" Properties=species:S:1:pos:R:3 pbc="T T T"
Sr 2.017 2.017 2.017
Sr 6.051 6.051 6.051
V 0.000 0.000 0.000
In 4.034 4.034 4.034
O 4.034 4.034 1.897
O 4.034 1.897 4.034
O 6.171 4.034 4.034
O 1.897 4.034 4.034
O 4.034 6.171 4.034
O 4.034 4.034 6.171
```

Computed properties:
Density in g cm⁻³: 5.53
VASP energy in eV for the cell shown: -65.83